# 1
The following is a PBE calculation of a relaxed Ni2AgBP crystal, from Alexandria.

Output
Magnetization = 0.0 μB/f.u.
N(E_F) = 3.383 states/eV per cell
Mass density = 7.09 g/cm³
Calculated formation energy = 1.604 eV per formula unit

Cell: 3.958 3.958 3.994 Å, 90.00 90.00 90.00°
Fractional coordinates of all 5 atoms:
Ni 0.000 0.500 0.000
Ni 0.500 0.000 0.000
Ag 0.000 0.000 0.500
B 0.500 0.500 0.000
P 0.500 0.500 0.500

# 2
The following is a PBE calculation of a relaxed Ni2AgBPt crystal, from Alexandria.

Output
Magnetization = 0.0 μB/f.u.
N(E_F) = 0.937 states/eV per cell
Mass density = 11.10 g/cm³
Calculated formation energy = -0.166 eV per formula unit

Cell: 3.965 3.965 4.104 Å, 90.00 90.00 90.00°
Fractional coordinates of all 5 atoms:
Ni 0.000 0.500 0.000
Ni 0.500 0.000 0.000
Ag 0.000 0.000 0.500
B 0.500 0.500 0.000
Pt 0.500 0.500 0.500

# 3
The following is a PBE calculation of a relaxed ReNiAgB2 crystal, from Alexandria.

Output
Magnetization = 2.3 μB/f.u.
N(E_F) = 4.119 states/eV per cell
Mass density = 9.11 g/cm³
Calculated formation energy = 7.940 eV per formula unit

Cell: 3.806 3.806 4.709 Å, 90.00 90.00 90.00°
Fractional coordinates of all 5 atoms:
Re 0.000 0.000 0.000
Ni 0.500 0.500 0.500
Ag 0.500 0.500 0.000
B 0.000 0.500 0.500
B 0.500 0.000 0.500

# 4
The following is a PBE calculation of a relaxed Ni2AgBRh crystal, from Alexandria.

Output
Magnetization = 0.5 μB/f.u.
N(E_F) = 7.722 states/eV per cell
Mass density = 8.94 g/cm³
Calculated formation energy = 0.202 eV per formula unit

Cell: 3.936 3.936 4.063 Å, 90.00 90.00 90.00°
Fractional coordinates of all 5 atoms:
Ni 0.000 0.500 0.000
Ni 0.500 0.000 0.000
Ag 0.000 0.000 0.500
B 0.500 0.500 0.000
Rh 0.500 0.500 0.500

# 5
The following is a PBE calculation of a relaxed NiAgBRh2 crystal, from Alexandria.

Output
Magnetization = 1.3 μB/f.u.
N(E_F) = 6.992 states/eV per cell
Mass density = 9.50 g/cm³
Calculated formation energy = 0.294 eV per formula unit

Cell: 4.121 4.121 3.944 Å, 90.00 90.00 90.00°
Fractional coordinates of all 5 atoms:
Ni 0.000 0.000 0.000
Ag 0.500 0.500 0.000
B 0.000 0.000 0.500
Rh 0.000 0.500 0.500
Rh 0.500 0.000 0.500

# 6
The following is a PBE calculation of a relaxed Y2NiAgB crystal, from Alexandria.

Output
Magnetization = 0.0 μB/f.u.
N(E_F) = 3.455 states/eV per cell
Mass density = 5.94 g/cm³
Calculated formation energy = -1.478 eV per formula unit

Cell: 5.121 5.121 3.786 Å, 90.00 90.00 90.00°
Fractional coordinates of all 5 atoms:
Y 0.000 0.500 0.000
Y 0.500 0.000 0.000
Ni 0.000 0.000 0.500
Ag 0.500 0.500 0.500
B 0.000 0.000 0.000

Which value of magnetization does entry 2 give? 0.0 μB/f.u.

Look up the calculated formation energy of the fifth one. 0.294 eV per formula unit